No. 1
GGA-PBE Ta3Ga, optimized geometry; Fermi-level density of states = 2.90 states/eV/f.u.; total energy = -156.4 eV for the cell shown; symmetry = I-4 (82); total moment = 0.000 μB/atom
1.0
-4.216 2.962 0.830
-4.487 0.003 -6.396
-5.738 -4.399 2.959
Ta Ga
12 4
Cartesian
-10.681 -2.457 -3.534 Ta
-1.892 -0.291 0.560 Ta
-7.166 2.292 -4.488 Ta
-9.145 -2.413 2.250 Ta
-7.401 -1.165 0.142 Ta
-7.236 -0.132 -2.709 Ta
-10.123 -0.443 -1.371 Ta
-4.124 -1.128 -1.274 Ta
-11.827 0.201 -3.691 Ta
-4.639 -0.214 1.484 Ta
-4.707 1.234 -3.374 Ta
-7.710 -4.090 0.370 Ta
-5.318 -2.835 0.381 Ga
-9.347 1.557 -2.943 Ga
-8.402 -2.459 -1.956 Ga
-5.817 0.867 -0.694 Ga

=====

No. 2
GGA-PBE ZrTiOs2, optimized geometry; Fermi-level density of states = 0.66 states/eV/f.u.; total energy = -41.1 eV for the cell shown; symmetry = P4/mmm (123); total moment = 0.000 μB/atom
1.0
3.195 0.000 0.000
0.000 4.520 0.000
0.000 0.000 4.520
Os Zr Ti
2 1 1
Cartesian
0.000 0.000 2.260 Os
0.000 2.260 0.000 Os
1.598 2.260 2.260 Zr
1.598 0.000 0.000 Ti

=====

No. 3
GGA-PBE Ac2Ti3NiPt12, optimized geometry; Fermi-level density of states = 11.89 states/eV/f.u.; total energy = -116.6 eV for the cell shown; symmetry = R-3m (166); total moment = 0.000 μB/atom
1.0
7.973 -0.211 -0.149
3.754 7.037 -0.149
3.754 2.185 6.691
Ac Ti Ni Pt
2 3 1 12
Cartesian
9.718 5.656 4.012 Ac
5.763 3.355 2.380 Ac
3.986 -0.105 -0.075 Ti
1.877 3.518 -0.075 Ti
1.877 1.093 3.345 Ti
0.000 0.000 0.000 Ni
7.673 4.466 5.808 Pt
11.649 6.781 2.150 Pt
9.466 8.020 5.689 Pt
9.839 3.236 2.295 Pt
11.649 4.271 5.689 Pt
7.673 6.958 2.295 Pt
7.808 4.545 0.584 Pt
3.832 2.231 4.242 Pt
6.015 0.991 0.703 Pt
5.642 5.775 4.096 Pt
3.832 4.741 0.703 Pt
7.808 2.053 4.096 Pt

=====

No. 4
GGA-PBE Pm2HoRu2, optimized geometry; Fermi-level density of states = 2.85 states/eV/f.u.; symmetry = Cmc2_1 (36); total moment = 0.000 μB/atom; distance to the lowest polymorph of the same formula = 0.037 eV per atom
1.0
4.266 0.000 0.000
-2.133 5.761 0.000
0.000 0.000 10.001
Pm Ho Ru
4 2 4
Cartesian
2.133 4.668 1.477 Pm
0.000 4.073 8.330 Pm
0.000 1.093 6.477 Pm
2.133 1.688 3.329 Pm
2.133 1.674 9.629 Ho
0.000 4.087 4.629 Ho
0.000 2.179 1.417 Ru
0.000 0.048 9.003 Ru
2.133 3.582 6.418 Ru
2.133 5.714 4.003 Ru

=====

No. 5
GGA-PBE Nd2HgPt9, optimized geometry; Fermi-level density of states = 7.90 states/eV/f.u.; total energy = -71.3 eV for the cell shown; symmetry = R-3m (166); total moment = 0.000 μB/atom
1.0
5.469 0.000 0.000
2.735 4.736 0.000
2.735 1.579 8.864
Nd Hg Pt
2 1 9
Cartesian
8.204 4.736 3.602 Nd
2.735 1.579 5.262 Nd
0.000 0.000 0.000 Hg
8.204 4.736 8.837 Pt
2.735 1.579 0.028 Pt
5.469 3.158 4.432 Pt
4.085 2.358 2.251 Pt
6.853 2.358 2.251 Pt
5.469 4.756 2.251 Pt
6.853 3.957 6.613 Pt
5.469 1.559 6.613 Pt
4.085 3.957 6.613 Pt

=====

No. 6
GGA-PBE Na2ZnSe2, optimized geometry; formation energy (no corrections) = -939 meV per atom; Fermi-level density of states = 0.00 states/eV/f.u.; symmetry = P2_1/c (14); total moment = 0.000 μB/atom; distance to the lowest polymorph of the same formula = 0.000 eV per atom
1.0
-3.239 1.301 6.536
5.971 -2.258 3.409
3.690 8.475 0.142
Na Zn Se
8 4 8
Cartesian
7.611 3.829 4.511 Na
2.258 2.375 6.348 Na
-1.188 3.689 5.574 Na
4.164 5.144 3.737 Na
5.251 -1.409 5.110 Na
4.058 7.837 6.878 Na
1.171 8.927 4.976 Na
2.364 -0.319 3.208 Na
5.013 1.795 2.889 Zn
5.427 4.180 6.819 Zn
1.409 5.723 7.197 Zn
0.996 3.338 3.267 Zn
1.389 5.403 4.719 Se
2.968 2.874 1.805 Se
5.034 2.115 5.367 Se
3.454 4.644 8.280 Se
0.290 1.342 4.451 Se
4.477 6.771 1.245 Se
6.132 6.176 5.634 Se
1.946 0.748 8.840 Se

=====

No. 7
GGA-PBE Cs3PrY2S6, optimized geometry; formation energy (no corrections) = -1823 meV per atom; Fermi-level density of states = 0.00 states/eV/f.u.; symmetry = C2/m (12); total moment = 0.000 μB/atom
1.0
7.222 -0.001 0.000
-3.610 6.255 0.000
-1.205 -2.086 8.082
Cs Pr Y S
3 1 2 6
Cartesian
-2.421 4.178 4.041 Cs
4.828 -0.009 4.041 Cs
1.204 2.084 4.041 Cs
0.000 0.000 0.000 Pr
0.000 4.170 0.000 Y
3.612 2.084 0.000 Y
3.646 2.023 6.595 S
2.373 4.109 1.482 S
-1.239 2.146 1.487 S
-0.070 4.169 6.595 S
0.034 0.060 6.600 S
2.478 0.000 1.487 S

=====

No. 8
GGA-PBE Tb3DyIr3, optimized geometry; Fermi-level density of states = 5.77 states/eV/f.u.; symmetry = R-3m (166); total moment = 0.000 μB/atom; distance to the lowest polymorph of the same formula = 0.000 eV per atom
1.0
5.597 -0.002 -1.974
-2.809 4.856 -1.987
0.001 -0.002 5.935
Tb Dy Ir
3 1 3
Cartesian
2.786 0.016 -0.993 Tb
1.386 2.445 0.981 Tb
-0.009 0.016 2.958 Tb
-1.413 2.443 -1.000 Dy
1.385 2.445 -1.988 Ir
2.789 0.016 1.973 Ir
-1.414 2.445 1.967 Ir

=====

No. 9
GGA-PBE Pr2ZnAs3Ir4, optimized geometry; Fermi-level density of states = 4.22 states/eV/f.u.; total energy = -67.2 eV for the cell shown; symmetry = P-4m2 (115); total moment = 0.000 μB/atom
1.0
4.234 0.000 0.000
0.000 4.234 0.000
0.000 0.000 10.392
Pr Zn As Ir
2 1 3 4
Cartesian
2.117 0.000 2.632 Pr
0.000 2.117 7.761 Pr
2.117 2.117 5.196 Zn
0.000 0.000 5.196 As
2.117 0.000 8.970 As
0.000 2.117 1.423 As
2.117 2.117 0.000 Ir
0.000 0.000 0.000 Ir
2.117 0.000 6.560 Ir
0.000 2.117 3.832 Ir

=====

No. 10
GGA-PBE CdCoSbTe2, optimized geometry; formation energy (no corrections) = 301 meV per atom; Fermi-level density of states = 4.03 states/eV/f.u.; symmetry = P4/mmm (123); total moment = 0.000 μB/atom; distance to the lowest polymorph of the same formula = 0.000 eV per atom
1.0
-0.980 4.790 -2.074
-4.859 -0.065 2.145
1.685 2.024 3.878
Sb Te Co Cd
1 2 1 1
Cartesian
0.842 1.012 1.939 Sb
-2.429 -0.033 1.072 Te
-0.490 2.395 -1.037 Te
0.000 0.000 0.000 Co
-2.077 3.375 1.974 Cd

=====

No. 11
GGA-PBE Zr2TaMnN, optimized geometry; formation energy (no corrections) = 1988 meV per atom; Fermi-level density of states = 5.03 states/eV/f.u.; symmetry = P4/mmm (123); total moment = 0.468 μB/atom
1.0
5.169 0.000 0.000
0.000 4.352 0.000
0.000 0.000 5.169
N Mn Zr Ta
1 1 2 1
Cartesian
2.585 2.176 2.585 N
0.000 2.176 0.000 Mn
0.000 0.000 2.585 Zr
2.585 0.000 0.000 Zr
0.000 0.000 0.000 Ta

=====

No. 12
GGA-PBE BaHfTe2N, optimized geometry; formation energy (no corrections) = -863 meV per atom; Fermi-level density of states = 3.39 states/eV/f.u.; symmetry = P4/mmm (123); total moment = 0.130 μB/atom; distance to the lowest polymorph of the same formula = 0.000 eV per atom
1.0
-1.609 -5.257 -2.091
2.803 -2.629 4.453
-3.455 0.156 2.267
Te Hf Ba N
2 1 1 1
Cartesian
1.401 -1.315 2.226 Te
-0.804 -2.628 -1.046 Te
0.000 0.000 0.000 Hf
-1.131 -3.865 2.314 Ba
-1.728 0.078 1.133 N